Below is In2BTeAu at its PBEsol-relaxed geometry, with properties calculated at the meta-GGA SCAN level.

The structure in POSCAR format:
```
In2BTeAu
1.0
5.704 0.000 0.000
0.000 5.704 0.000
0.000 0.000 5.179
In B Te Au
2 1 1 1
direct
0.000 0.500 0.000
0.500 0.000 0.000
0.000 0.000 0.500
0.500 0.500 0.000
0.500 0.500 0.500
```

Values from the calculation:
Uncorrected formation energy ... 713.7 kJ/mol of formula units
Space group ... P4/mmm
Total energy ... -34.64 eV/atom